1.
# Sc2PbBr2

A geometry-optimized Sc2PbBr2 structure (PBE-GGA, the Alexandria database).

Values from the calculation:
Total energy: -45.87 eV per cell
Formation energy from raw total energies: -643.3 meV per atom
Total magnetization: 0.06 μB/atom
Crystal system: tetragonal

```
data_Sc2PbBr2
_chemical_formula_sum 'Sc4 Pb2 Br4'
_cell_length_a 4.388
_cell_length_b 4.388
_cell_length_c 13.482
_cell_angle_alpha 90.00
_cell_angle_beta 90.00
_cell_angle_gamma 90.00
_symmetry_space_group_name_H-M 'I 4/m m m'
_symmetry_Int_Tables_number 139
_symmetry_space_group_name_Hall '-I 4 2'
loop_
_atom_site_label
_atom_site_type_symbol
_atom_site_fract_x
_atom_site_fract_y
_atom_site_fract_z
Sc1 Sc 0.000 0.000 0.119
Pb1 Pb 0.000 0.000 0.500
Br1 Br 0.000 0.500 0.250
```

***

2.
# ScPb2Br

A geometry-optimized ScPb2Br structure (PBE-GGA, the Alexandria database).

Values from the calculation:
Total energy: -64.70 eV per cell
Formation energy from raw total energies: -188.3 meV per atom
Total magnetization: 0.00 μB/atom
Crystal system: cubic

```
data_ScPb2Br
_chemical_formula_sum 'Sc4 Pb8 Br4'
_cell_length_a 7.631
_cell_length_b 7.631
_cell_length_c 7.631
_cell_angle_alpha 90.00
_cell_angle_beta 90.00
_cell_angle_gamma 90.00
_symmetry_space_group_name_H-M 'F -4 3 m'
_symmetry_Int_Tables_number 216
_symmetry_space_group_name_Hall 'F -4 2 3'
loop_
_atom_site_label
_atom_site_type_symbol
_atom_site_fract_x
_atom_site_fract_y
_atom_site_fract_z
Sc1 Sc 0.000 0.000 0.000
Pb1 Pb 0.000 0.000 0.500
Pb2 Pb 0.250 0.250 0.750
Br1 Br 0.250 0.250 0.250
```

***

3.
# ScPb2Br

A geometry-optimized ScPb2Br structure (PBE-GGA, the Alexandria database).

Values from the calculation:
Total energy: -16.05 eV per cell
Formation energy from raw total energies: -157.2 meV per atom
Total magnetization: 0.00 μB/atom
Crystal system: tetragonal

```
data_ScPb2Br
_chemical_formula_sum 'Sc1 Pb2 Br1'
_cell_length_a 4.335
_cell_length_b 4.335
_cell_length_c 5.867
_cell_angle_alpha 90.00
_cell_angle_beta 90.00
_cell_angle_gamma 90.00
_symmetry_space_group_name_H-M 'P 4/m m m'
_symmetry_Int_Tables_number 123
_symmetry_space_group_name_Hall '-P 4 2'
loop_
_atom_site_label
_atom_site_type_symbol
_atom_site_fract_x
_atom_site_fract_y
_atom_site_fract_z
Sc1 Sc 0.000 0.000 0.000
Pb1 Pb 0.000 0.500 0.500
Br1 Br 0.500 0.500 0.000
```

***

4.
# ScPbBr

A geometry-optimized ScPbBr structure (PBE-GGA, the Alexandria database).

Values from the calculation:
Total energy: -14.01 eV per cell
Formation energy from raw total energies: -765.6 meV per atom
Total magnetization: 0.00 μB/atom
Crystal system: trigonal

```
data_ScPbBr
_chemical_formula_sum 'Sc1 Pb1 Br1'
_cell_length_a 3.6098
_cell_length_b 3.6098
_cell_length_c 7.8443
_cell_angle_alpha 90.00
_cell_angle_beta 90.00
_cell_angle_gamma 120.00
_symmetry_space_group_name_H-M 'P 3 m 1'
_symmetry_Int_Tables_number 156
_symmetry_space_group_name_Hall 'P 3 -2"'
loop_
_atom_site_label
_atom_site_type_symbol
_atom_site_fract_x
_atom_site_fract_y
_atom_site_fract_z
Sc1 Sc 0.0000 0.0000 0.0000
Pb1 Pb 0.3333 0.6667 0.6951
Br1 Br 0.6667 0.3333 0.2240
```